Here is a relaxed Li3Ti2V3O12 crystal from Alexandria. Energies are from PBE+U.

POSCAR file:
```
Li3Ti2V3O12
1.0
8.7918 0.0000 0.0081
0.0000 9.2743 0.0000
-0.2137 0.0000 12.6354
V O Li Ti
12 48 12 8
Direct
0.6169 0.8808 0.3488
0.9718 0.2433 0.5091
0.8866 0.1122 0.8631
0.3866 0.3878 0.3631
0.1134 0.8878 0.1369
0.8831 0.3808 0.1512
0.4718 0.2567 0.0091
0.3831 0.1192 0.6512
0.1169 0.6192 0.8488
0.5282 0.7433 0.9909
0.0282 0.7567 0.4909
0.6134 0.6122 0.6369
0.7501 0.0615 0.9559
0.2501 0.4385 0.4559
0.0641 0.3491 0.6109
0.4359 0.8491 0.8891
0.6367 0.4813 0.7353
0.9227 0.5737 0.8052
0.8633 0.9813 0.7647
0.7499 0.5615 0.5441
0.6203 0.6885 0.3460
0.7437 0.9839 0.2656
0.4416 0.6152 0.0771
0.3633 0.5187 0.2647
0.1865 0.8399 0.4198
0.5641 0.1509 0.1109
0.6865 0.6601 0.9198
0.0727 0.1027 0.9077
0.3289 0.2187 0.3162
0.4227 0.9263 0.3052
0.6711 0.7813 0.6838
0.4273 0.6027 0.5923
0.1711 0.7187 0.1838
0.5773 0.0737 0.6948
0.3797 0.3115 0.6540
0.8797 0.1885 0.1540
0.8460 0.4281 0.0134
0.5727 0.3973 0.4077
0.8976 0.3692 0.4085
0.3135 0.3399 0.0802
0.2499 0.9385 0.0441
0.2563 0.0161 0.7344
0.6540 0.9281 0.4866
0.3976 0.1308 0.9085
0.1024 0.6308 0.5915
0.3460 0.0719 0.5134
0.0773 0.4263 0.1948
0.8289 0.2813 0.8162
0.8135 0.1601 0.5802
0.9359 0.6509 0.3891
0.0584 0.1152 0.4229
0.1367 0.0187 0.2353
0.9416 0.8848 0.5771
0.7563 0.4839 0.2344
0.1540 0.5719 0.9866
0.2437 0.5161 0.7656
0.1203 0.8115 0.8460
0.9273 0.8973 0.0923
0.5584 0.3848 0.9229
0.6024 0.8692 0.0915
0.4340 0.4110 0.7931
0.3094 0.7309 0.3131
0.5660 0.5890 0.2069
0.6906 0.2691 0.6869
0.8094 0.7691 0.8131
0.9294 0.5151 0.6520
0.4294 0.9849 0.1520
0.9340 0.0890 0.2931
0.5706 0.0151 0.8480
0.0660 0.9110 0.7069
0.0706 0.4849 0.3480
0.1906 0.2309 0.1869
0.2424 0.4780 0.6141
0.7576 0.5220 0.3859
0.2570 0.0269 0.3879
0.7424 0.0220 0.1141
0.2576 0.9780 0.8859
0.2430 0.5269 0.1121
0.7570 0.4731 0.8879
0.7430 0.9731 0.6121
```

The value obtained for the calculated total energy is -7.45 eV per atom.